(1)
Compound: Ba2NbZn
Source: the Open Quantum Materials Database
Functional: PBE-GGA
Structure: relaxed

Summary:
Mass density ... 5.89 g cm⁻³
Total magnetization ... 0.802 μB per atom
Final energy ... -12.2 eV per formula unit

Lattice parameters (Å, degrees): 7.875 7.875 7.875 90.00 90.00 90.00
Space group F-43m (No. 216)
Inequivalent atoms, fractional coordinates:
Ba 0.000 0.000 0.000 x4
Ba 0.250 0.250 0.250 x4
Nb 0.000 0.000 0.500 x4
Zn 0.250 0.250 0.750 x4

=====

(2)
Compound: BaNbZn
Source: the Open Quantum Materials Database
Functional: PBE-GGA
Structure: relaxed

Summary:
Mass density ... 5.60 g cm⁻³
Total magnetization ... 0.708 μB per atom
E above lowest polymorph ... 0.0 meV per atom

Lattice parameters (Å, degrees): 7.051 7.051 7.051 90.00 90.00 90.00
Space group F-43m (No. 216)
Inequivalent atoms, fractional coordinates:
Ba 0.000 0.000 0.000 x4
Nb 0.250 0.250 0.250 x4
Zn 0.000 0.000 0.500 x4

=====

(3)
Compound: BaNb2Zn
Source: the Open Quantum Materials Database
Functional: PBE-GGA
Structure: relaxed

Summary:
Mass density ... 7.30 g cm⁻³
Total magnetization ... 0.000 μB per atom
Final energy ... -20.4 eV per formula unit

Lattice parameters (Å, degrees): 7.071 7.071 7.071 90.00 90.00 90.00
Space group F-43m (No. 216)
Inequivalent atoms, fractional coordinates:
Ba 0.000 0.000 0.000 x4
Nb 0.000 0.000 0.500 x4
Nb 0.250 0.250 0.750 x4
Zn 0.250 0.250 0.250 x4

=====

(4)
Compound: Ba2Nd
Source: the Open Quantum Materials Database
Functional: PBE-GGA
Structure: relaxed

Summary:
Mass density ... 1.32 g cm⁻³
Total magnetization ... 2.406 μB per atom
E above lowest polymorph ... 1524.6 meV per atom

Lattice parameters (Å, degrees): 16.157 16.157 16.157 90.00 90.00 90.00
Space group Fd-3m (No. 227, origin choice 2)
Inequivalent atoms, fractional coordinates:
Ba 0.000 0.000 0.000 x16
Nd 0.125 0.125 0.125 x8

=====

(5)
Compound: Ba2Nd
Source: the Open Quantum Materials Database
Functional: PBE-GGA
Structure: relaxed

Summary:
Mass density ... 4.69 g cm⁻³
Total magnetization ... 0.094 μB per atom
E above lowest polymorph ... 0.0 meV per atom

Lattice parameters (Å, degrees): 10.584 10.584 10.584 90.00 90.00 90.00
Space group Fd-3m (No. 227, origin choice 2)
Inequivalent atoms, fractional coordinates:
Ba 0.000 0.000 0.000 x16
Nd 0.125 0.125 0.625 x8

=====

(6)
Compound: BaNdNp
Source: the Open Quantum Materials Database
Functional: PBE-GGA
Structure: relaxed

Summary:
Mass density ... 6.68 g cm⁻³
Total magnetization ... 2.134 μB per atom
Final energy ... -15.5 eV per formula unit

Lattice parameters (Å, degrees): 8.019 8.019 8.019 90.00 90.00 90.00
Space group F-43m (No. 216)
Inequivalent atoms, fractional coordinates:
Ba 0.000 0.000 0.000 x4
Nd 0.250 0.250 0.750 x4
Np 0.000 0.000 0.500 x4

=====

(7)
Compound: BaNdO3
Source: the Open Quantum Materials Database
Functional: PBE-GGA
Structure: relaxed

Summary:
Mass density ... 5.49 g cm⁻³
Total magnetization ... 0.200 μB per atom
Final energy ... -32.7 eV per formula unit

Lattice parameters (Å, degrees): 6.6060 6.6060 15.8163 90.00 90.00 120.00
Space group R-3c (No. 167, hexagonal axes)
Inequivalent atoms, fractional coordinates:
Ba 0.0000 0.0000 0.0000 x6
Nd 0.0000 0.0000 0.2500 x6
O 0.0004 0.3333 0.0833 x18

=====

(8)
Compound: BaNdO3
Source: the Open Quantum Materials Database
Functional: PBE-GGA
Structure: relaxed

Summary:
Mass density ... 5.71 g cm⁻³
Total magnetization ... 0.200 μB per atom
Final energy ... -34.3 eV per formula unit

Lattice parameters (Å, degrees): 6.3248 6.3248 16.6096 90.00 90.00 120.00
Space group R-3 (No. 148, hexagonal axes)
Inequivalent atoms, fractional coordinates:
Ba 0.0000 0.0000 0.1307 x6
Nd 0.0000 0.0000 0.3531 x6
O 0.0344 0.4066 0.9234 x18

=====

(9)
Compound: BaNdO3
Source: the Open Quantum Materials Database
Functional: PBE-GGA
Structure: relaxed

Summary:
Mass density ... 6.05 g cm⁻³
Total magnetization ... 0.200 μB per atom
Final energy ... -34.4 eV per formula unit

Lattice parameters (Å, degrees): 6.3976 6.3976 15.3225 90.00 90.00 120.00
Space group R-3c (No. 167, hexagonal axes)
Inequivalent atoms, fractional coordinates:
Ba 0.0000 0.0000 0.2500 x6
Nd 0.0000 0.0000 0.0000 x6
O 0.0000 0.4163 0.2500 x18

=====

(10)
Compound: BaNdPO
Source: the Open Quantum Materials Database
Functional: PBE-GGA
Structure: relaxed

Summary:
Mass density ... 4.96 g cm⁻³
Total magnetization ... 0.000 μB per atom
E above lowest polymorph ... 122.9 meV per atom

Lattice parameters (Å, degrees): 4.187 7.024 7.477 90.00 90.00 90.00
Space group Pmc2_1 (No. 26)
Inequivalent atoms, fractional coordinates:
Ba 0.000 0.056 0.000 x2
Nd 0.500 0.385 0.363 x2
P 0.500 0.242 0.724 x2
O 0.000 0.268 0.289 x2

=====

(11)
Compound: BaNdPO
Source: the Open Quantum Materials Database
Functional: PBE-GGA
Structure: relaxed

Summary:
Mass density ... 4.43 g cm⁻³
Total magnetization ... 0.049 μB per atom
E above lowest polymorph ... 498.3 meV per atom

Lattice parameters (Å, degrees): 5.032 5.032 9.727 90.00 90.00 90.00
Space group P4/nmm (No. 129, origin choice 2)
Inequivalent atoms, fractional coordinates:
Ba 0.250 0.250 0.085 x2
Nd 0.250 0.750 0.500 x2
P 0.250 0.250 0.632 x2
O 0.250 0.750 0.000 x2

=====

(12)
Compound: BaNdPO
Source: the Open Quantum Materials Database
Functional: PBE-GGA
Structure: relaxed

Summary:
Mass density ... 4.50 g cm⁻³
Total magnetization ... 0.000 μB per atom
E above lowest polymorph ... 0.0 meV per atom

Lattice parameters (Å, degrees): 4.653 7.722 6.748 90.00 90.00 90.00
Space group Pmc2_1 (No. 26)
Inequivalent atoms, fractional coordinates:
Ba 0.000 0.198 0.000 x2
Nd 0.500 0.380 0.580 x2
P 0.000 0.212 0.471 x2
O 0.500 0.362 0.919 x2

=====

(13)
Compound: BaNdPO
Source: the Open Quantum Materials Database
Functional: PBE-GGA
Structure: relaxed

Summary:
Mass density ... 5.57 g cm⁻³
Total magnetization ... 0.000 μB per atom
E above lowest polymorph ... 401.2 meV per atom

Lattice parameters (Å, degrees): 4.547 4.547 9.480 90.00 90.00 90.00
Space group P4/nmm (No. 129, origin choice 2)
Inequivalent atoms, fractional coordinates:
Ba 0.250 0.750 0.000 x2
Nd 0.250 0.250 0.411 x2
P 0.250 0.250 0.779 x2
O 0.250 0.750 0.500 x2

=====

(14)
Compound: BaNdPO
Source: the Open Quantum Materials Database
Functional: PBE-GGA
Structure: relaxed

Summary:
Mass density ... 5.50 g cm⁻³
Total magnetization ... 0.000 μB per atom
E above lowest polymorph ... 170.4 meV per atom

Lattice parameters (Å, degrees): 5.698 5.698 6.104 90.00 90.00 90.00
Space group P4/nmm (No. 129, origin choice 2)
Inequivalent atoms, fractional coordinates:
Ba 0.250 0.250 0.004 x2
Nd 0.250 0.750 0.500 x2
P 0.250 0.250 0.506 x2
O 0.250 0.750 0.000 x2

=====

(15)
Compound: BaNdPd2O5
Source: the Open Quantum Materials Database
Functional: PBE-GGA
Structure: relaxed

Summary:
Mass density ... 7.53 g cm⁻³
Total magnetization ... 0.000 μB per atom
Final energy ... -57.0 eV per formula unit

Lattice parameters (Å, degrees): 4.056 4.056 7.699 90.00 90.00 90.00
Space group P4/mmm (No. 123)
Inequivalent atoms, fractional coordinates:
Ba 0.000 0.000 0.000 x1
Nd 0.000 0.000 0.500 x1
Pd 0.500 0.500 0.277 x2
O 0.000 0.500 0.311 x4
O 0.500 0.500 0.000 x1

=====

(16)
Compound: BaNd2Sc2O7
Source: the Open Quantum Materials Database
Functional: PBE-GGA
Structure: relaxed

Summary:
Mass density ... 6.12 g cm⁻³
Total magnetization ... 0.000 μB per atom
Final energy ... -98.9 eV per formula unit

Lattice parameters (Å, degrees): 5.799 5.799 20.270 90.00 90.00 90.00
Space group P4_2/mnm (No. 136)
Inequivalent atoms, fractional coordinates:
Ba 0.240 0.240 0.000 x4
Nd 0.225 0.225 0.184 x8
Sc 0.242 0.242 0.398 x8
O 0.000 0.000 0.094 x4
O 0.000 0.000 0.370 x4
O 0.000 0.500 0.114 x8
O 0.186 0.814 0.210 x8
O 0.214 0.214 0.500 x4

=====

(17)
Compound: Ba2NdScO5
Source: the Open Quantum Materials Database
Functional: PBE-GGA
Structure: relaxed

Summary:
Mass density ... 5.57 g cm⁻³
Total magnetization ... 0.000 μB per atom
Final energy ... -66.9 eV per formula unit

Lattice parameters (Å, degrees): 7.543 6.150 7.911 90.00 117.83 90.00
Space group P2_1 (No. 4)
Inequivalent atoms, fractional coordinates:
Ba 0.150 0.000 0.393 x2
Ba 0.295 0.502 0.156 x2
Nd 0.398 0.505 0.659 x2
Sc 0.186 0.027 0.838 x2
O 0.093 0.468 0.362 x2
O 0.223 0.341 0.809 x2
O 0.241 0.971 0.106 x2
O 0.351 0.853 0.758 x2
O 0.499 0.231 0.520 x2

=====

(18)
Compound: Ba2NdZrO5
Source: the Open Quantum Materials Database
Functional: PBE-GGA
Structure: relaxed

Summary:
Mass density ... 5.66 g cm⁻³
Total magnetization ... 0.111 μB per atom
Final energy ... -68.1 eV per formula unit

Lattice parameters (Å, degrees): 7.750 6.234 7.773 90.00 112.84 90.00
Space group P2_1 (No. 4)
Inequivalent atoms, fractional coordinates:
Ba 0.149 0.000 0.341 x2
Ba 0.347 0.499 0.143 x2
Nd 0.130 0.014 0.866 x2
Zr 0.345 0.533 0.650 x2
O 0.019 0.734 0.984 x2
O 0.171 0.521 0.375 x2
O 0.215 0.353 0.773 x2
O 0.289 0.836 0.700 x2
O 0.383 0.027 0.160 x2

=====

(19)
Compound: BaNdOs
Source: the Open Quantum Materials Database
Functional: PBE-GGA
Structure: relaxed

Summary:
Mass density ... 8.49 g cm⁻³
Total magnetization ... 0.000 μB per atom
E above lowest polymorph ... 0.0 meV per atom

Lattice parameters (Å, degrees): 7.173 7.173 7.173 90.00 90.00 90.00
Space group F-43m (No. 216)
Inequivalent atoms, fractional coordinates:
Ba 0.000 0.000 0.000 x4
Nd 0.000 0.000 0.500 x4
Os 0.250 0.250 0.250 x4

=====

(20)
Compound: Ba2NdOsS6
Source: the Open Quantum Materials Database
Functional: PBE-GGA
Structure: relaxed

Summary:
Mass density ... 5.20 g cm⁻³
Total magnetization ... 0.270 μB per atom
Final energy ... -57.2 eV per formula unit

Lattice parameters (Å, degrees): 7.059 7.059 10.280 90.00 90.00 90.00
Space group I4/m (No. 87)
Inequivalent atoms, fractional coordinates:
Ba 0.000 0.500 0.250 x4
Nd 0.000 0.000 0.000 x2
Os 0.000 0.000 0.500 x2
S 0.000 0.000 0.268 x4
S 0.179 0.283 0.500 x8